# 1
DFT (PBE) results for NdSn4Pd12 after structural relaxation.

Values from the calculation:
The value obtained for the total energy is -5.034 eV per atom.

abc: 7.7251 7.7251 7.7251
angles: 109.47 109.47 109.47
Closest atoms and distances in Å follow each position.
Positions (direct):
Nd (0.0000, 0.0000, 0.0000)  12 Pd 3.41
Sn (0.0000, 0.0000, 0.5000)  6 Pd 2.57
Sn (0.0000, 0.5000, 0.0000)  6 Pd 2.57
Sn (0.5000, 0.0000, 0.0000)  6 Pd 2.57
Sn (0.5000, 0.5000, 0.5000)  6 Pd 2.57
Pd (0.1500, 0.5015, 0.3515)  2 Sn 2.57, 2 Pd 2.65-2.68
Pd (0.1500, 0.7985, 0.6485)  2 Sn 2.57, 2 Pd 2.65-2.68
Pd (0.2015, 0.3515, 0.8500)  2 Sn 2.57, 2 Pd 2.65-2.68
Pd (0.3515, 0.1500, 0.5015)  2 Sn 2.57, 2 Pd 2.65-2.68
Pd (0.3515, 0.8500, 0.2015)  2 Sn 2.57, 2 Pd 2.65-2.68
Pd (0.4985, 0.6485, 0.8500)  2 Sn 2.57, 2 Pd 2.65-2.68
Pd (0.5015, 0.3515, 0.1500)  2 Sn 2.57, 2 Pd 2.65-2.68
Pd (0.6485, 0.1500, 0.7985)  2 Sn 2.57, 2 Pd 2.65-2.68
Pd (0.6485, 0.8500, 0.4985)  2 Sn 2.57, 2 Pd 2.65-2.68
Pd (0.7985, 0.6485, 0.1500)  2 Sn 2.57, 2 Pd 2.65-2.68
Pd (0.8500, 0.2015, 0.3515)  2 Sn 2.57, 2 Pd 2.65-2.68
Pd (0.8500, 0.4985, 0.6485)  2 Sn 2.57, 2 Pd 2.65-2.68


# 2
DFT (PBE) results for ZnRe2Hg after structural relaxation.

Values from the calculation:
The excess energy over the best structure of this formula in the dataset comes out at 0.00 eV/f.u.

abc: 9.8250 9.8250 9.8250
angles: 16.63 16.63 16.63
Closest atoms and distances in Å follow each position.
Positions (direct):
Zn (0.0000, 0.0000, 0.0000)  3 Re 2.76, 6 Zn 2.84
Re (0.4803, 0.4803, 0.4803)  9 Re 2.62-2.84
Re (0.7432, 0.7432, 0.7432)  9 Re 2.62-2.84, 3 Zn 2.76
Hg (0.2375, 0.2375, 0.2375)  6 Hg 2.84, 3 Re 3.10


# 3
DFT (PBE) results for HfIrI2N after structural relaxation.

Values from the calculation:
The excess energy over the best structure of this formula in the dataset comes out at 0.00 eV/f.u. The uncorrected formation energy is 0.66 eV per atom.

abc: 5.6574 5.6574 3.6707
angles: 90.00 90.00 90.00
Closest atoms and distances in Å follow each position.
Positions (direct):
Hf (0.0000, 0.0000, 0.0000)  8 I 3.37, 2 Hf 3.67
Ir (0.5000, 0.5000, 0.5000)  2 N 1.84
I (0.0000, 0.5000, 0.5000)  2 Ir 2.83
I (0.5000, 0.0000, 0.5000)  2 Ir 2.83
N (0.5000, 0.5000, 0.0000)  2 Ir 1.84


# 4
DFT (PBE) results for MnTcBr2 after structural relaxation.

Values from the calculation:
The excess energy over the best structure of this formula in the dataset comes out at 0.01 eV/f.u. The uncorrected formation energy is 0.09 eV per atom.

abc: 9.0970 9.0970 9.0970
angles: 22.29 22.29 22.29
Closest atoms and distances in Å follow each position.
Positions (direct):
Mn (0.0000, 0.0000, 0.0000)  3 Tc 2.41, 3 Br 2.64
Tc (0.2845, 0.2845, 0.2845)  3 Mn 2.41
Br (0.5466, 0.5466, 0.5466)  3 Tc 2.78
Br (0.7302, 0.7302, 0.7302)  3 Mn 2.64


# 5
DFT (PBE) results for BaCa2Fe after structural relaxation.

Values from the calculation:
The excess energy over the best structure of this formula in the dataset comes out at 0.07 eV/f.u.

abc: 3.8766 3.8814 9.5447
angles: 90.00 90.06 90.00
Closest atoms and distances in Å follow each position.
Positions (direct):
Ba (0.0000, 0.0000, 0.0000)  4 Fe 3.44-3.45, 1 Ca 3.56
Ca (0.5002, 0.5000, 0.6546)  8 Ca 3.84-3.88, 1 Fe 4.16, 4 Ba 4.29
Ca (0.9992, 0.0000, 0.3728)  4 Fe 3.11
Fe (0.4991, 0.5000, 0.2187)  4 Ca 3.11, 4 Ba 3.44-3.45


# 6
DFT (PBE) results for KRh after structural relaxation.

Values from the calculation:
The excess energy over the best structure of this formula in the dataset comes out at 0.83 eV/f.u.

abc: 2.9353 2.9353 5.4718
angles: 90.00 90.00 120.00
Closest atoms and distances in Å follow each position.
Positions (direct):
K (0.0000, 0.0000, 0.0000)  6 K 2.94, 6 Rh 3.22
Rh (0.3333, 0.6667, 0.5000)  6 Rh 2.94, 6 K 3.22